[1]
The following is a DFT calculation (GGA-PBE) of a relaxed structure of EuThGeAu.

abc: 5.252 5.252 5.252
angles: 60.00 60.00 60.00
Sites, in units of the cell vectors:
Eu 0.250 0.250 0.250
Ge 0.000 0.000 0.000
Au 0.500 0.500 0.500
Th 0.750 0.750 0.750

Properties
* raw total energy: -6.994 eV/atom



[2]
The following is a DFT calculation (GGA-PBE) of a relaxed structure of EuTmGeAu.

abc: 5.141 5.141 5.141
angles: 60.00 60.00 60.00
Sites, in units of the cell vectors:
Eu 0.000 0.000 0.000
Ge 0.750 0.750 0.750
Tm 0.500 0.500 0.500
Au 0.250 0.250 0.250

Properties
* raw total energy: -6.397 eV/atom



[3]
The following is a DFT calculation (GGA-PBE) of a relaxed structure of EuYGeAu.

abc: 5.181 5.181 5.181
angles: 60.00 60.00 60.00
Sites, in units of the cell vectors:
Eu 0.000 0.000 0.000
Y 0.500 0.500 0.500
Ge 0.250 0.250 0.250
Au 0.750 0.750 0.750

Properties
* raw total energy: -6.909 eV/atom



[4]
The following is a DFT calculation (GGA-PBE) of a relaxed structure of EuZnGeAu.

abc: 4.918 4.918 4.918
angles: 60.00 60.00 60.00
Sites, in units of the cell vectors:
Eu 0.750 0.750 0.750
Ge 0.250 0.250 0.250
Au 0.500 0.500 0.500
Zn 0.000 0.000 0.000

Properties
* raw total energy: -5.205 eV/atom